Entry 1:
Nd2GePRh6 PBE optimized geometry; V = 18.690 Å³/atom; VASP energy = -140.6 eV/cell; energy of formation = -0.660 eV per atom
1.0
5.716 0.000 0.000
0.000 7.524 0.000
0.000 0.000 8.691
Nd Ge P Rh
4 2 2 12
Cartesian
2.858 5.403 2.388
0.000 2.122 6.734
2.858 5.403 6.304
0.000 2.122 1.958
0.000 5.388 4.346
2.858 2.136 0.000
2.858 1.703 4.346
0.000 5.821 0.000
2.858 0.875 2.171
2.858 0.875 6.520
0.000 6.649 2.174
0.000 6.649 6.517
1.344 0.033 4.346
4.372 0.033 4.346
1.371 3.362 4.346
4.344 3.362 4.346
4.229 4.162 0.000
1.487 4.162 0.000
1.514 7.492 0.000
4.202 7.492 0.000

=====

Entry 2:
Ti5Os PBE optimized geometry; V = 16.442 Å³/atom; VASP energy = -51.9 eV/cell; energy of formation = -0.199 eV per atom
1.0
-2.957 -0.774 -0.141
0.781 -2.954 -0.158
-0.330 -0.650 10.514
Ti Os
5 1
Cartesian
-0.213 -0.420 6.795
-1.359 -2.397 8.479
0.000 0.000 0.000
-1.147 -1.980 1.736
-0.117 -0.230 3.719
-1.253 -2.189 5.108

=====

Entry 3:
K3Mg2PaTe6 PBE optimized geometry; V = 34.532 Å³/atom; VASP energy = -46.6 eV/cell
1.0
-5.478 2.116 -4.860
-1.710 -4.374 6.005
0.999 7.498 4.132
K Mg Pa Te
3 2 1 6
Cartesian
-1.839 0.457 6.259
-4.351 4.783 -0.983
-3.095 2.620 2.638
-2.967 -2.210 2.381
-4.222 -0.049 -1.237
0.000 0.000 0.000
-5.338 5.338 2.364
-5.074 -0.147 1.672
-0.852 -0.099 2.912
-4.081 3.175 5.987
-1.115 5.387 3.604
-2.108 2.065 -0.711

=====

Entry 4:
AcGdBiPb PBE optimized geometry; V = 33.186 Å³/atom; VASP energy = -27.9 eV/cell; energy of formation = -0.535 eV per atom
1.0
-2.546 3.769 3.478
-5.668 0.769 -0.269
-3.345 -1.846 4.265
Pb Ac Gd Bi
1 1 1 1
Cartesian
-2.890 0.673 1.868
-5.780 1.346 3.737
0.000 0.000 0.000
-8.669 2.019 5.605

=====

Entry 5:
Sr2CrFe PBE optimized geometry; V = 28.294 Å³/atom; VASP energy = -19.1 eV/cell; energy of formation = 0.595 eV per atom
1.0
-4.491 -3.201 2.820
-1.439 -5.307 -2.851
4.701 3.035 2.657
Cr Fe Sr
1 1 2
Cartesian
-2.535 -3.638 -0.013
-0.255 -3.842 -0.107
-0.149 -0.214 -0.001
-1.254 -2.034 2.732

=====

Entry 6:
NaNpOsO6 PBE optimized geometry; V = 14.510 Å³/atom; VASP energy = -144.5 eV/cell
1.0
5.417 0.000 0.000
-2.709 4.692 0.000
0.000 0.000 10.276
Na Np Os O
2 2 2 12
Cartesian
0.000 0.000 0.000
0.000 0.000 5.138
2.709 1.564 2.569
0.000 3.128 7.707
0.000 3.128 2.569
2.709 1.564 7.707
1.651 3.028 1.496
-0.911 1.748 1.496
1.969 0.085 6.634
3.620 2.944 8.780
0.911 1.748 3.642
-1.651 3.028 3.642
3.448 0.085 8.780
0.739 4.607 3.642
4.359 1.663 6.634
-0.739 4.607 1.496
1.797 2.944 6.634
1.058 1.663 8.780

=====

Entry 7:
KCuBr PBE optimized geometry; V = 35.442 Å³/atom; VASP energy = -7.5 eV/cell
1.0
-2.025 -1.867 -5.343
3.065 -4.585 -2.391
-2.461 1.110 5.371
Br Cu K
1 1 1
Cartesian
0.064 -0.395 -0.474
0.308 -1.908 -2.288
0.669 -4.148 -4.973

=====

Entry 8:
NaNiSn PBE optimized geometry; V = 20.778 Å³/atom; VASP energy = -11.1 eV/cell; energy of formation = -0.008 eV per atom
1.0
-1.982 -1.824 1.993
2.307 0.143 2.426
-2.490 5.492 -0.269
Ni Sn Na
1 1 1
Cartesian
-1.411 2.820 1.176
-0.789 1.061 3.003
-2.130 3.741 4.120

=====

> VASP energy of number 1 (Nd2GePRh6)?

-140.6 eV/cell